## Sc5HN4 (PBE)

Data for Sc5HN4 after structural relaxation.

Cell: 3.219 4.478 16.131 Å, 90.00 90.00 90.00°
Space group Immm (No. 71)
Inequivalent atoms, fractional coordinates:
Sc (0.000, 0.000, 0.000) x2
Sc (0.000, 0.000, 0.199) x4
Sc (0.000, 0.000, 0.389) x4
H (0.000, 0.500, 0.000) x2
N (0.000, 0.500, 0.199) x4
N (0.000, 0.500, 0.401) x4

Computed properties:
Electronic total energy ... -8.46 eV/atom